W2AuS2 after structural relaxation, computed with PBE.

Unit cell a=7.3142 b=7.3142 c=2.8332 alpha=90.00 beta=90.00 gamma=90.00
Space group P4/mbm (No. 127)
Inequivalent atoms, fractional coordinates:
W  0.1664  0.3336  0.0000 (multiplicity 4)
Au  0.0000  0.0000  0.5000 (multiplicity 2)
S  0.1311  0.6311  0.5000 (multiplicity 4)

Properties
Volume, A^3/atom: 15.2
Formation energy without anion corrections, meV per atom: 425.2
Energy above the most stable polymorph in this dataset, meV per atom: 195
DFT total energy, eV per atom: -7.062